No. 1
Material: Tb2Y4Mg
Method: DFT, PBE-GGA
State: relaxed

Crystal system   monoclinic
ΔH_f (0 K)   95 meV per atom
Symmetry   C2/m, No. 12

Cell and atoms, written as extended XYZ:
```
7
Lattice="3.480 0.000 0.000 0.000 8.590 0.167 -1.740 -3.919 7.348" Properties=species:S:1:pos:R:3 pbc="T T T"
Y 1.740 -0.735 6.228
Y 0.000 5.406 1.286
Y 0.000 2.294 5.480
Y 1.740 2.377 2.034
Tb 1.740 5.182 4.260
Tb 0.000 -0.511 3.255
Mg 0.000 0.000 0.000
```

No. 2
Material: TbY4Mg5
Method: DFT, PBE-GGA
State: relaxed

Crystal system   tetragonal
ΔH_f (0 K)   -104 meV per atom
Symmetry   P4/mmm, No. 123

Cell and atoms, written as extended XYZ:
```
10
Lattice="-3.022 1.676 -1.600 -2.097 -3.096 0.718 -4.905 7.225 16.825" Properties=species:S:1:pos:R:3 pbc="T T T"
Mg -6.973 5.792 14.699
Mg -3.051 0.013 1.244
Mg -5.012 2.902 7.971
Mg -5.993 4.347 11.336
Mg -4.031 1.458 4.607
Y -2.942 4.335 10.094
Y -1.962 2.891 6.731
Y -0.980 1.443 3.361
Y -3.925 5.782 13.464
Tb 0.000 0.000 0.000
```

No. 3
Material: Tb5Y12Mg
Method: DFT, PBE-GGA
State: relaxed

Crystal system   orthorhombic
ΔH_f (0 K)   24 meV per atom
Symmetry   Cmmm, No. 65

Cell and atoms, written as extended XYZ:
```
18
Lattice="-13.059 -6.560 -3.560 -2.918 -9.789 -3.027 -0.666 -1.296 4.830" Properties=species:S:1:pos:R:3 pbc="T T T"
Y -11.232 -6.123 -0.557
Y -3.464 -5.010 0.814
Y -2.632 -7.857 2.799
Y -13.180 -12.635 -2.571
Y -10.388 -8.929 1.443
Y -14.012 -9.788 -4.556
Y -9.360 -5.663 2.460
Y -8.803 -10.436 -1.377
Y -7.841 -7.209 -0.380
Y -6.256 -8.716 -3.199
Y -7.284 -11.981 -4.216
Y -5.412 -11.522 -1.200
Tb -12.167 -9.419 -1.568
Tb -6.863 -3.928 0.635
Tb -10.647 -10.910 -4.394
Tb -5.331 -5.439 -2.194
Tb -4.477 -8.226 -0.188
Mg -0.666 -1.296 4.830
```

No. 4
Material: Tb2Y3Mg2
Method: DFT, PBE-GGA
State: relaxed

Crystal system   orthorhombic
ΔH_f (0 K)   36 meV per atom
Symmetry   Cmmm, No. 65

Cell and atoms, written as extended XYZ:
```
7
Lattice="-3.438 -0.759 3.886 0.845 -3.380 0.088 6.534 1.885 9.688" Properties=species:S:1:pos:R:3 pbc="T T T"
Mg 4.099 -0.497 10.606
Mg -0.158 -1.757 3.056
Tb 1.735 -1.145 8.389
Tb 2.205 -1.109 5.273
Y 4.080 1.212 7.385
Y 0.000 0.000 0.000
Y -0.984 -0.086 6.189
```

No. 5
Material: TbY2Mg2
Method: DFT, PBE-GGA
State: relaxed

Crystal system   orthorhombic
ΔH_f (0 K)   52 meV per atom
Symmetry   Immm, No. 71

Cell and atoms, written as extended XYZ:
```
5
Lattice="-3.381 2.973 -2.705 -4.873 1.789 2.958 0.239 5.875 1.059" Properties=species:S:1:pos:R:3 pbc="T T T"
Mg -2.938 6.174 0.258
Mg -5.077 4.464 1.053
Y -2.070 2.907 0.683
Y -5.945 7.730 0.628
Tb 0.000 0.000 0.000
```

No. 6
Material: Tb2YMg8
Method: DFT, PBE-GGA
State: relaxed

Crystal system   orthorhombic
ΔH_f (0 K)   47 meV per atom
Symmetry   Immm, No. 71

Cell and atoms, written as extended XYZ:
```
11
Lattice="-4.160 -0.840 3.115 0.317 -7.507 -1.600 6.309 3.167 4.831" Properties=species:S:1:pos:R:3 pbc="T T T"
Tb 2.002 -4.176 1.548
Tb 0.464 -1.003 4.798
Y -2.080 -0.420 1.558
Mg 2.373 -2.978 6.815
Mg 1.113 -4.869 4.622
Mg -0.787 -2.990 2.591
Mg 3.253 -2.189 3.755
Mg 0.093 -2.201 -0.469
Mg 1.353 -0.310 1.724
Mg -0.664 -5.905 1.970
Mg 3.130 0.726 4.376
```